TaAsIr after structural relaxation. Source: Alexandria via LeMat-Bulk, functional GGA-PBEsol.

a = 5.6983 Å, b = 5.6983 Å, c = 5.6983 Å
α = 149.85°, β = 149.85°, γ = 43.16°
Last column: nearest neighbours and their distance in Å.
Positions (direct):
Ta1 0.0000 0.0000 0.0000  4 As 2.75, 4 Ir 2.76, 4 Ta 2.96
As1 0.6679 0.6679 0.0000  4 Ir 2.72, 4 Ta 2.75, 4 As 2.96
Ir1 0.3311 0.3311 0.0000  4 As 2.72, 4 Ta 2.76, 4 Ir 2.96

Values from the calculation:
total magnetization = 0.0 μB/cell
ΔH_f (0 K) = -0.22 eV per atom
N(E_F) = 2.4 states/eV/f.u.

---

NbInSb2Te after structural relaxation. Source: Alexandria via LeMat-Bulk, functional GGA-PBEsol.

a = 5.3702 Å, b = 5.3702 Å, c = 5.4950 Å
α = 90.00°, β = 90.00°, γ = 90.00°
Last column: nearest neighbours and their distance in Å.
Positions (direct):
Nb1 0.0000 0.0000 0.0000  4 Te 3.80, 8 Sb 3.84
In1 0.5000 0.5000 0.5000  4 Sb 2.69, 2 Te 2.75
Sb1 0.0000 0.5000 0.5000  2 In 2.69
Sb2 0.5000 0.0000 0.5000  2 In 2.69
Te1 0.5000 0.5000 0.0000  2 In 2.75

Values from the calculation:
total magnetization = 2.9 μB/cell
total DFT energy (no corrections) = -19.95 eV for the cell shown
N(E_F) = 6.8 states/eV/f.u.